Record 1
Compound: La2SiWBr
Source: Alexandria via LeMat-Bulk
Functional: GGA-PBE
Structure: optimized geometry

a b c (Å): 5.5943 5.5943 4.7519
angles (deg): 90.00 90.00 90.00
Element x y z (fractional)
1 La 0.0000 0.5000 0.0000
2 La 0.5000 0.0000 0.0000
3 Si 0.0000 0.0000 0.5000
4 W 0.0000 0.0000 0.0000
5 Br 0.5000 0.5000 0.5000

Properties
E   -6.19 eV per atom
Theoretical density   6.4 g cm⁻³
SG   P4/mmm

Record 2
Compound: YGa3IrRh
Source: Alexandria via LeMat-Bulk
Functional: GGA-PBE
Structure: optimized geometry

a b c (Å): 6.6906 6.6906 5.4957
angles (deg): 90.00 90.00 106.78
Element x y z (fractional)
1 Y 0.2013 0.7987 0.7500
2 Y 0.7987 0.2013 0.2500
3 Ga 0.2418 0.2418 0.0000
4 Ga 0.2418 0.2418 0.5000
5 Ga 0.3199 0.6801 0.2500
6 Ga 0.6801 0.3199 0.7500
7 Ga 0.7582 0.7582 0.0000
8 Ga 0.7582 0.7582 0.5000
9 Ir 0.0902 0.9098 0.2500
10 Ir 0.9098 0.0902 0.7500
11 Rh 0.4499 0.5501 0.7500
12 Rh 0.5501 0.4499 0.2500

Properties
E   -5.81 eV per atom
Energy of formation   -0.51 eV/atom
Theoretical density   8.4 g cm⁻³
SG   Cmcm

Record 3
Compound: Ca2ZnAs
Source: Alexandria via LeMat-Bulk
Functional: GGA-PBE
Structure: optimized geometry

a b c (Å): 9.6255 9.6255 9.6255
angles (deg): 146.57 146.57 48.00
Element x y z (fractional)
1 Ca 0.1015 0.6250 0.9765
2 Ca 0.3750 0.3515 0.4765
3 Ca 0.6485 0.1250 0.0235
4 Ca 0.8750 0.8985 0.5235
5 Zn 0.2500 0.7500 0.5000
6 Zn 0.5000 0.5000 0.0000
7 As 0.0000 0.0000 0.0000
8 As 0.7500 0.2500 0.5000

Properties
E   -2.70 eV per atom
Relative energy among the computed polymorphs   208 kJ/mol of formula units
Energy of formation   -0.22 eV/atom
Theoretical density   2.7 g cm⁻³
SG   I-42d

Record 4
Compound: NiMo3
Source: Alexandria via LeMat-Bulk
Functional: GGA-PBE
Structure: optimized geometry

a b c (Å): 4.9795 4.9795 4.9795
angles (deg): 141.33 128.77 65.99
Element x y z (fractional)
1 Ni 0.0000 0.0000 0.0000
2 Mo 0.2578 0.7578 0.5000
3 Mo 0.5000 0.5000 0.0000
4 Mo 0.7422 0.2422 0.5000

Properties
E   -9.43 eV per atom
Energy of formation   0.14 eV/atom
Theoretical density   9.7 g cm⁻³
SG   Immm

Record 5
Compound: Tb2Dy4Y
Source: Alexandria via LeMat-Bulk
Functional: GGA-PBE
Structure: optimized geometry

a b c (Å): 6.3347 8.5689 9.5744
angles (deg): 79.52 70.71 68.33
Element x y z (fractional)
1 Tb 0.0000 0.0000 0.0000
2 Tb 0.0491 0.5798 0.0384
3 Tb 0.3808 0.1604 0.0780
4 Tb 0.9388 0.0809 0.5400
5 Dy 0.2235 0.3466 0.3706
6 Dy 0.3065 0.2359 0.7209
7 Dy 0.3214 0.8143 0.7074
8 Dy 0.3436 0.7347 0.2195
9 Dy 0.6434 0.9253 0.3578
10 Dy 0.6664 0.8479 0.8722
11 Dy 0.6787 0.4256 0.8584
12 Dy 0.7674 0.3124 0.2062
13 Y 0.6094 0.5012 0.4988
14 Y 0.9899 0.6596 0.5795

Properties
E   -4.71 eV per atom
Relative energy among the computed polymorphs   88 kJ/mol of formula units
Energy of formation   0.17 eV/atom
Theoretical density   7.7 g cm⁻³
SG   P1

Record 6
Compound: InCBr
Source: Alexandria via LeMat-Bulk
Functional: GGA-PBE
Structure: optimized geometry

a b c (Å): 5.1395 6.9465 7.0427
angles (deg): 62.92 78.08 68.57
Element x y z (fractional)
1 In 0.0000 0.0000 0.0000
2 In 0.3779 0.5484 0.5810
3 C 0.7441 0.6464 0.4666
4 C 0.9834 0.6545 0.4562
5 Br 0.2704 0.5287 0.9680
6 Br 0.5639 0.1084 0.6782

Properties
E   -4.41 eV per atom
Theoretical density   3.3 g cm⁻³
SG   P1

Record 7
Compound: Sc3Sn5S12
Source: Alexandria via LeMat-Bulk
Functional: GGA-PBE
Structure: optimized geometry

a b c (Å): 13.5262 13.5262 13.5262
angles (deg): 109.47 109.47 109.47
Element x y z (fractional)
1 Sc 0.1250 0.2500 0.3750
2 Sc 0.1250 0.3750 0.7500
3 Sc 0.2500 0.3750 0.1250
4 Sc 0.2500 0.8750 0.6250
5 Sc 0.3750 0.1250 0.2500
6 Sc 0.3750 0.7500 0.1250
7 Sc 0.6250 0.2500 0.8750
8 Sc 0.6250 0.8750 0.7500
9 Sc 0.7500 0.1250 0.3750
10 Sc 0.7500 0.6250 0.8750
11 Sc 0.8750 0.6250 0.2500
12 Sc 0.8750 0.7500 0.6250
13 Sn 0.0000 0.0000 0.0000
14 Sn 0.0000 0.0000 0.5000
15 Sn 0.0000 0.5000 0.0000
16 Sn 0.0000 0.5000 0.5000
17 Sn 0.1250 0.7500 0.8750
18 Sn 0.1250 0.8750 0.2500
19 Sn 0.2500 0.1250 0.8750
20 Sn 0.2500 0.6250 0.3750
21 Sn 0.3750 0.2500 0.6250
22 Sn 0.3750 0.6250 0.7500
23 Sn 0.5000 0.0000 0.0000
24 Sn 0.5000 0.0000 0.5000
25 Sn 0.5000 0.5000 0.0000
26 Sn 0.5000 0.5000 0.5000
27 Sn 0.6250 0.3750 0.2500
28 Sn 0.6250 0.7500 0.3750
29 Sn 0.7500 0.3750 0.6250
30 Sn 0.7500 0.8750 0.1250
31 Sn 0.8750 0.1250 0.7500
32 Sn 0.8750 0.2500 0.1250
33 S 0.0540 0.2282 0.1421
34 S 0.0540 0.3258 0.9119
35 S 0.0860 0.7282 0.6742
36 S 0.0860 0.8579 0.4119
37 S 0.0881 0.6421 0.4140
38 S 0.0881 0.9460 0.6742
39 S 0.1421 0.0540 0.2282
40 S 0.1421 0.5881 0.9140
41 S 0.1742 0.2282 0.5860
42 S 0.1742 0.4460 0.5881
43 S 0.2282 0.1421 0.0540
44 S 0.2282 0.5860 0.1742
45 S 0.2718 0.3258 0.9140
46 S 0.2718 0.4460 0.3579
47 S 0.3258 0.9119 0.0540
48 S 0.3258 0.9140 0.2718
49 S 0.3579 0.2718 0.4460
50 S 0.3579 0.5860 0.9119
51 S 0.4119 0.0860 0.8579
52 S 0.4119 0.8258 0.5540
53 S 0.4140 0.0881 0.6421
54 S 0.4140 0.8258 0.7718
55 S 0.4460 0.3579 0.2718
56 S 0.4460 0.5881 0.1742
57 S 0.5540 0.4119 0.8258
58 S 0.5540 0.6421 0.7282
59 S 0.5860 0.1742 0.2282
60 S 0.5860 0.9119 0.3579
61 S 0.5881 0.1742 0.4460
62 S 0.5881 0.9140 0.1421
63 S 0.6421 0.4140 0.0881
64 S 0.6421 0.7282 0.5540
65 S 0.6742 0.0860 0.7282
66 S 0.6742 0.0881 0.9460
67 S 0.7282 0.5540 0.6421
68 S 0.7282 0.6742 0.0860
69 S 0.7718 0.4140 0.8258
70 S 0.7718 0.8579 0.9460
71 S 0.8258 0.5540 0.4119
72 S 0.8258 0.7718 0.4140
73 S 0.8579 0.4119 0.0860
74 S 0.8579 0.9460 0.7718
75 S 0.9119 0.0540 0.3258
76 S 0.9119 0.3579 0.5860
77 S 0.9140 0.1421 0.5881
78 S 0.9140 0.2718 0.3258
79 S 0.9460 0.6742 0.0881
80 S 0.9460 0.7718 0.8579

Properties
E   -5.15 eV per atom
Theoretical density   3.9 g cm⁻³
SG   Ia-3d

Record 8
Compound: WSe2Br5
Source: Alexandria via LeMat-Bulk
Functional: GGA-PBE
Structure: optimized geometry

a b c (Å): 8.3178 8.3178 8.3178
angles (deg): 110.35 81.05 143.88
Element x y z (fractional)
1 W 0.0000 0.0000 0.0000
2 Se 0.2784 0.7784 0.5000
3 Se 0.7057 0.2057 0.5000
4 Br 0.1378 0.1865 0.3238
5 Br 0.1378 0.8140 0.9513
6 Br 0.5001 0.5001 0.0000
7 Br 0.8627 0.1865 0.0487
8 Br 0.8627 0.8140 0.6762

Properties
E   -3.65 eV per atom
Theoretical density   4.0 g cm⁻³
SG   Imm2

Record 9
Compound: Tb3GdFe
Source: Alexandria via LeMat-Bulk
Functional: GGA-PBE
Structure: optimized geometry

a b c (Å): 5.2871 5.2871 5.2871
angles (deg): 90.00 90.00 90.00
Element x y z (fractional)
1 Tb 0.0000 0.0000 0.5000
2 Tb 0.0000 0.5000 0.0000
3 Tb 0.5000 0.0000 0.0000
4 Gd 0.5000 0.5000 0.5000
5 Fe 0.0000 0.0000 0.0000

Properties
E   -7.17 eV per atom
Energy of formation   0.11 eV/atom
Theoretical density   7.8 g cm⁻³
SG   Pm-3m

Record 10
Compound: KLaTiRe2
Source: Alexandria via LeMat-Bulk
Functional: GGA-PBE
Structure: optimized geometry

a b c (Å): 4.9730 4.9730 5.0264
angles (deg): 90.00 90.00 90.00
Element x y z (fractional)
1 K 0.0000 0.0000 0.0000
2 La 0.5000 0.5000 0.5000
3 Ti 0.5000 0.5000 0.0000
4 Re 0.0000 0.5000 0.5000
5 Re 0.5000 0.0000 0.5000

Properties
E   -5.52 eV per atom
Energy of formation   2.25 eV/atom
Theoretical density   8.0 g cm⁻³
SG   P4/mmm

Record 11
Compound: Nd4ScTl3
Source: Alexandria via LeMat-Bulk
Functional: GGA-PBE
Structure: optimized geometry

a b c (Å): 8.4584 8.4584 8.4584
angles (deg): 140.86 140.86 56.54
Element x y z (fractional)
1 Nd 0.1242 0.6242 0.5000
2 Nd 0.3758 0.8758 0.5000
3 Nd 0.6242 0.1242 0.5000
4 Nd 0.8758 0.3758 0.5000
5 Sc 0.0000 0.0000 0.0000
6 Tl 0.2430 0.2430 0.0000
7 Tl 0.5000 0.5000 0.0000
8 Tl 0.7570 0.7570 0.0000

Properties
E   -4.30 eV per atom
Energy of formation   -0.23 eV/atom
Theoretical density   8.6 g cm⁻³
SG   I4/mmm

Record 12
Compound: VRuSCl2
Source: Alexandria via LeMat-Bulk
Functional: GGA-PBE
Structure: optimized geometry

a b c (Å): 4.8800 4.8800 4.4554
angles (deg): 90.00 90.00 90.00
Element x y z (fractional)
1 V 0.0000 0.0000 0.0000
2 Ru 0.5000 0.5000 0.5000
3 S 0.5000 0.5000 0.0000
4 Cl 0.0000 0.5000 0.5000
5 Cl 0.5000 0.0000 0.5000

Properties
E   -4.63 eV per atom
Relative energy among the computed polymorphs   117 kJ/mol of formula units
Theoretical density   4.0 g cm⁻³
SG   P4/mmm

Record 13
Compound: LaPm6SmY2
Source: Alexandria via LeMat-Bulk
Functional: GGA-PBE
Structure: optimized geometry

a b c (Å): 8.9761 8.9761 9.6616
angles (deg): 93.41 93.41 116.43
Element x y z (fractional)
1 La 0.0937 0.9063 0.7500
2 La 0.9063 0.0937 0.2500
3 Pm 0.0214 0.7953 0.3830
4 Pm 0.0607 0.5146 0.1805
5 Pm 0.2047 0.9786 0.1170
6 Pm 0.2608 0.6060 0.5589
7 Pm 0.3940 0.7392 0.9411
8 Pm 0.4854 0.9393 0.3195
9 Pm 0.5146 0.0607 0.6805
10 Pm 0.6060 0.2608 0.0589
11 Pm 0.7392 0.3940 0.4411
12 Pm 0.7953 0.0214 0.8830
13 Pm 0.9393 0.4854 0.8195
14 Pm 0.9786 0.2047 0.6170
15 Sm 0.4621 0.5379 0.2500
16 Sm 0.5379 0.4621 0.7500
17 Y 0.2072 0.3018 0.9486
18 Y 0.3018 0.2072 0.4486
19 Y 0.6982 0.7928 0.5514
20 Y 0.7928 0.6982 0.0514

Properties
E   -4.99 eV per atom
Energy of formation   0.12 eV/atom
Theoretical density   6.4 g cm⁻³
SG   C2/c

Record 14
Compound: K2NaCdS
Source: Alexandria via LeMat-Bulk
Functional: GGA-PBE
Structure: optimized geometry

a b c (Å): 6.1866 6.1866 5.2949
angles (deg): 90.00 90.00 90.00
Element x y z (fractional)
1 K 0.0000 0.5000 0.0000
2 K 0.5000 0.0000 0.0000
3 Na 0.0000 0.0000 0.5000
4 Cd 0.5000 0.5000 0.5000
5 S 0.0000 0.0000 0.0000

Properties
E   -2.22 eV per atom
Theoretical density   2.0 g cm⁻³
SG   P4/mmm

Record 15
Compound: ThNi5Ge2
Source: Alexandria via LeMat-Bulk
Functional: GGA-PBE
Structure: optimized geometry

a b c (Å): 6.0607 6.0607 6.0607
angles (deg): 143.52 114.41 77.45
Element x y z (fractional)
1 Th 0.0000 0.0000 0.0000
2 Ni 0.1751 0.3633 0.8118
3 Ni 0.4485 0.6367 0.8118
4 Ni 0.5000 0.0000 0.5000
5 Ni 0.5515 0.3633 0.1882
6 Ni 0.8249 0.6367 0.1882
7 Ge 0.2573 0.7573 0.5000
8 Ge 0.7427 0.2427 0.5000

Properties
E   -6.13 eV per atom
Energy of formation   -0.44 eV/atom
Theoretical density   9.5 g cm⁻³
SG   Immm

Record 16
Compound: CsP2Pb2
Source: Alexandria via LeMat-Bulk
Functional: GGA-PBE
Structure: optimized geometry

a b c (Å): 9.0984 9.0984 3.8328
angles (deg): 90.00 90.00 90.00
Element x y z (fractional)
1 Cs 0.0000 0.0000 0.0000
2 Cs 0.5000 0.5000 0.0000
3 P 0.0868 0.4132 0.0000
4 P 0.4132 0.9132 0.0000
5 P 0.5868 0.0868 0.0000
6 P 0.9132 0.5868 0.0000
7 Pb 0.1538 0.6538 0.5000
8 Pb 0.3462 0.1538 0.5000
9 Pb 0.6538 0.8462 0.5000
10 Pb 0.8462 0.3462 0.5000

Properties
E   -3.76 eV per atom
Relative energy among the computed polymorphs   46 kJ/mol of formula units
Energy of formation   0.06 eV/atom
Theoretical density   6.4 g cm⁻³
SG   P4/mbm

Record 17
Compound: CoAsW2
Source: Alexandria via LeMat-Bulk
Functional: GGA-PBE
Structure: optimized geometry

a b c (Å): 2.7769 4.0027 5.4404
angles (deg): 90.00 104.57 90.00
Element x y z (fractional)
1 Co 0.0000 0.0000 0.0000
2 As 0.0000 0.0000 0.5000
3 W 0.4634 0.5000 0.7573
4 W 0.5366 0.5000 0.2427

Properties
E   -9.11 eV per atom
Energy of formation   0.31 eV/atom
Theoretical density   14.2 g cm⁻³
SG   P2/m